Entry from Alexandria via LeMat-Bulk: a relaxed Na2TmMgPb2 crystal (PBE).

The space group is No. 26. As for the formation energy: -0.238 eV/atom. As for the electronic total energy: -2.92 eV/atom. The magnetization comes out at 0.0 μB/f.u. Its volume is 334.5 Å³/cell. The value obtained for the density of states at the Fermi level is 5.56 states/eV/cell.

Cell lengths 4.9357, 9.3547, 7.2454 Å; angles 90.00, 90.00, 90.00 degrees
Element x y z (fractional)
1 Na 0.0000 0.0519 0.0000
2 Na 0.0000 0.9481 0.5000
3 Na 0.5000 0.1651 0.2849
4 Na 0.5000 0.8349 0.7849
5 Tm 0.5000 0.4725 0.9565
6 Tm 0.5000 0.5275 0.4565
7 Mg 0.0000 0.3128 0.6372
8 Mg 0.0000 0.6872 0.1372
9 Pb 0.0000 0.3787 0.2219
10 Pb 0.0000 0.6213 0.7219
11 Pb 0.5000 0.1749 0.7408
12 Pb 0.5000 0.8251 0.2408

Entry from Alexandria via LeMat-Bulk: a relaxed NaMg2Pd2 crystal (PBE).

The space group is No. 127. As for the formation energy: -0.479 eV/atom. Its distance to the lowest polymorph of the same formula is 0.012 eV per atom. As for the electronic total energy: -3.46 eV/atom. The magnetization comes out at 0.0 μB/f.u. Its volume is 185.5 Å³/cell. The value obtained for the density of states at the Fermi level is 3.04 states/eV/cell.

Cell lengths 7.9218, 7.9218, 2.9552 Å; angles 90.00, 90.00, 90.00 degrees
Element x y z (fractional)
1 Na 0.0000 0.0000 0.0000
2 Na 0.5000 0.5000 0.0000
3 Mg 0.1375 0.3625 0.0000
4 Mg 0.3625 0.8625 0.0000
5 Mg 0.6375 0.1375 0.0000
6 Mg 0.8625 0.6375 0.0000
7 Pd 0.1557 0.6557 0.5000
8 Pd 0.3443 0.1557 0.5000
9 Pd 0.6557 0.8443 0.5000
10 Pd 0.8443 0.3443 0.5000